An optimized crystal structure of Pr6Tl2Zn. Source: Alexandria via LeMat-Bulk, functional PBE.

Properties
**Excess energy over the best structure of this formula in the dataset**: 0.0 meV/atom
**Energy relative to the elements**: -205 kJ/mol of formula units
**Density**: 7.8 g/cm3
**Space group**: P-62m, No. 189
**N(E_F)**: 11.38 states/eV per cell

a = 3.861 Å, b = 9.186 Å, c = 9.187 Å
α = 120.00°, β = 90.00°, γ = 90.00°
Positions (direct):
Pr  0.500  0.000  0.604
Pr  0.000  0.000  0.265
Tl  0.000  0.333  0.667
Pr  0.500  0.396  0.396
Tl  0.000  0.667  0.333
Pr  0.000  0.265  0.000
Pr  0.000  0.735  0.735
Pr  0.500  0.604  0.000
Zn  0.500  0.000  0.000

An optimized crystal structure of Pm5NdSc3. Source: Alexandria via LeMat-Bulk, functional PBE.

Properties
**Energy relative to the elements**: 382 kJ/mol of formula units
**Density**: 5.3 g/cm3
**Space group**: C2/m, No. 12
**N(E_F)**: 27.96 states/eV per cell

a = 9.440 Å, b = 9.440 Å, c = 11.382 Å
α = 52.31°, β = 52.31°, γ = 74.48°
Positions (direct):
Pm  0.837  0.837  0.910
Pm  0.163  0.163  0.090
Pm  0.349  0.855  0.532
Sc  0.659  0.659  0.328
Pm  0.855  0.349  0.532
Sc  0.341  0.341  0.672
Pm  0.253  0.747  0.000
Sc  0.000  0.000  0.000
Sc  0.682  0.682  0.812
Sc  0.318  0.318  0.188
Pm  0.494  0.494  0.777
Nd  0.823  0.823  0.401
Pm  0.506  0.506  0.223
Nd  0.177  0.177  0.599
Pm  0.145  0.651  0.468
Pm  0.747  0.253  0.000
Sc  0.000  0.000  0.500
Pm  0.651  0.145  0.468

An optimized crystal structure of Sm3Tm2PaAs6. Source: Alexandria via LeMat-Bulk, functional PBE.

Properties
**Energy relative to the elements**: -1683 kJ/mol of formula units
**Density**: 8.1 g/cm3
**Space group**: C2/m, No. 12
**N(E_F)**: 4.39 states/eV per cell

a = 7.158 Å, b = 7.158 Å, c = 7.188 Å
α = 99.54°, β = 99.54°, γ = 120.01°
Positions (direct):
Sm  0.500  0.500  0.500
As  0.920  0.589  0.761
Tm  0.666  0.334  0.000
As  0.411  0.080  0.239
Sm  0.168  0.832  0.500
Sm  0.832  0.168  0.500
Pa  0.000  0.000  0.000
As  0.589  0.920  0.761
As  0.080  0.411  0.239
As  0.749  0.749  0.239
As  0.251  0.251  0.761
Tm  0.334  0.666  0.000

An optimized crystal structure of Ti2AgTePt. Source: Alexandria via LeMat-Bulk, functional PBE.

Properties
**Excess energy over the best structure of this formula in the dataset**: 389.7 meV/atom
**Density**: 7.2 g/cm3
**Space group**: P4/mmm, No. 123
**Raw formation energy**: 85.85 kJ/mol of atoms
**N(E_F)**: 6.66 states/eV per cell

a = 4.967 Å, b = 4.933 Å, c = 4.967 Å
α = 90.00°, β = 90.00°, γ = 90.00°
Positions (direct):
Ti  0.000  0.000  0.500
Te  0.000  0.000  0.000
Ti  0.500  0.000  0.000
Ag  0.000  0.500  0.000
Pt  0.500  0.500  0.500

An optimized crystal structure of AcLa2PmMg. Source: Alexandria via LeMat-Bulk, functional PBE.

Properties
**Energy relative to the elements**: 112 kJ/mol of formula units
**Density**: 5.9 g/cm3
**Space group**: Cmcm, No. 63
**N(E_F)**: 13.25 states/eV per cell

a = 7.490 Å, b = 8.395 Å, c = 7.359 Å
α = 124.78°, β = 90.00°, γ = 90.00°
Positions (direct):
Pm  0.250  0.931  0.863
Pm  0.750  0.069  0.137
La  0.000  0.303  0.000
Mg  0.250  0.681  0.363
Ac  0.750  0.761  0.521
La  0.500  0.697  0.000
Mg  0.750  0.319  0.637
La  0.500  0.303  0.000
Ac  0.250  0.239  0.479
La  0.000  0.697  0.000

An optimized crystal structure of Pd3PbO6. Source: Alexandria via LeMat-Bulk, functional PBE.

Properties
**Density**: 8.1 g/cm3
**Space group**: Cmmm, No. 65
**Raw formation energy**: -54.58 kJ/mol of atoms
**N(E_F)**: 5.75 states/eV per cell

a = 3.452 Å, b = 6.280 Å, c = 6.280 Å
α = 109.90°, β = 90.00°, γ = 90.00°
Positions (direct):
Pd  0.500  0.500  0.000
O  0.000  0.929  0.666
O  0.000  0.071  0.334
Pb  0.000  0.500  0.500
O  0.500  0.340  0.660
O  0.000  0.666  0.929
Pd  0.500  0.000  0.500
O  0.000  0.334  0.071
O  0.500  0.660  0.340
Pd  0.000  0.000  0.000

An optimized crystal structure of Sn2RhAu. Source: Alexandria via LeMat-Bulk, functional PBE.

Properties
**Excess energy over the best structure of this formula in the dataset**: 77.3 meV/atom
**Energy relative to the elements**: -30 kJ/mol of formula units
**Density**: 10.9 g/cm3
**Space group**: R-3m, No. 166
**N(E_F)**: 1.72 states/eV per cell

a = 4.482 Å, b = 4.482 Å, c = 5.369 Å
α = 65.33°, β = 65.33°, γ = 60.00°
Positions (direct):
Sn  0.759  0.759  0.723
Rh  0.500  0.500  0.500
Au  0.000  0.000  0.000
Sn  0.241  0.241  0.277

An optimized crystal structure of Cs2NaRhBr6. Source: Alexandria via LeMat-Bulk, functional PBE.

Properties
**Density**: 4.3 g/cm3
**Space group**: Fm-3m, No. 225
**Raw formation energy**: -113.92 kJ/mol of atoms
**N(E_F)**: 0.00 states/eV per cell

a = 7.792 Å, b = 7.792 Å, c = 7.791 Å
α = 60.00°, β = 60.00°, γ = 90.00°
Positions (direct):
Br  0.230  0.230  0.000
Na  0.500  0.500  0.000
Cs  0.250  0.750  0.500
Br  0.230  0.770  0.000
Br  0.770  0.770  0.459
Br  0.770  0.770  0.000
Rh  0.000  0.000  0.000
Cs  0.750  0.250  0.500
Br  0.230  0.230  0.541
Br  0.770  0.230  0.000

Question: Look up the N(E_F) of the first one.
Answer: 11.38 states/eV per cell

Question: The lowest N(E_F) belongs to which entry?
Answer: Cs2NaRhBr6